## MgBeGeW2 (PBE)

Data for an optimized crystal structure of MgBeGeW2.

Lattice parameters (Å, degrees): 4.294 4.294 4.305 90.00 90.00 90.00
Space group P4/mmm (No. 123)
Asymmetric unit:
Mg 0.000 0.000 0.000 [1 per cell]
Be 0.000 0.000 0.500 [1 per cell]
Ge 0.500 0.500 0.000 [1 per cell]
W 0.000 0.500 0.500 [2 per cell]

The formation energy comes out at 906 meV per atom. Its energy relative to the lowest polymorph listed for this composition is 0.000 eV/atom. The calculation puts the calculated density at 9910 kg/m3.

=====

## Mn2BeGe2 (PBE)

Data for an optimized crystal structure of Mn2BeGe2.

Lattice parameters (Å, degrees): 6.302 6.302 3.306 90.00 90.00 90.00
Space group P4/mbm (No. 127)
Asymmetric unit:
Mn 0.156 0.344 0.000 [4 per cell]
Be 0.000 0.000 0.500 [2 per cell]
Ge 0.146 0.646 0.500 [4 per cell]

The formation energy comes out at 163 meV per atom. Its energy relative to the lowest polymorph listed for this composition is 0.081 eV/atom. The calculation puts the calculated density at 6682 kg/m3.

=====

## MnBeGe (PBE)

Data for an optimized crystal structure of MnBeGe.

Lattice parameters (Å, degrees): 4.426 8.040 7.605 90.00 90.00 90.00
Space group Fdd2 (No. 43)
Asymmetric unit:
Mn 0.000 0.000 0.000 [8 per cell]
Be 0.000 0.000 0.321 [8 per cell]
Ge 0.000 0.000 0.657 [8 per cell]

The formation energy comes out at -73 meV per atom. The calculation puts the calculated density at 6705 kg/m3.